Entry from Alexandria via LeMat-Bulk: a relaxed CaCuMo2O8 crystal (GGA+U).

Lattice parameters (Å, degrees): 6.0639 6.0639 6.0639 108.45 108.45 111.53
Each line ends with the local moment (μB).
Sites, in units of the cell vectors:
Ca1 0.2500 0.7500 0.5000  0.00
Cu1 0.0000 0.0000 0.0000  0.62
Mo1 0.7500 0.2500 0.5000  0.01
Mo2 0.5000 0.5000 0.0000  -0.02
O1 0.3856 0.0903 0.2954  0.07
O2 0.3408 0.5398 0.1990  0.04
O3 0.3408 0.1417 0.8010  0.04
O4 0.7949 0.0903 0.7046  0.07
O5 0.8583 0.6592 0.1990  0.04
O6 0.9097 0.2051 0.2954  0.07
O7 0.9097 0.6144 0.7046  0.07
O8 0.4602 0.6592 0.8010  0.04

* V: 14.29 Å³/atom
* SG: No. 119
* D(E_F): 7.479 states/eV/f.u.
* energy: -6.5746 eV per atom